Na8Bi2Se: relaxed, GGA-PBE.

Summary:
The value obtained for the volume is 317.0 Å³ per cell. As for the space group: Immm (71). The value obtained for the uncorrected formation energy is -0.53 eV/atom.

Structure (POSCAR):
```
Na8Bi2Se
1.0
-2.710 3.540 8.259
2.710 -3.540 8.259
2.710 3.540 -8.259
Na Bi Se
8 2 1
Cartesian
2.710 1.797 -2.272
0.000 0.000 3.317
0.000 1.798 0.000
2.710 1.797 2.272
0.000 1.743 5.987
0.000 5.282 0.000
0.000 0.000 13.200
0.000 1.743 10.530
2.710 0.000 5.367
0.000 3.540 2.891
2.710 0.000 0.000
```

AgHg2Pt: relaxed, GGA-PBE.

Summary:
The value obtained for the volume is 75.8 Å³ per cell. As for the space group: Fm-3m (225). The value obtained for the energy above the most stable polymorph in this dataset is 11 meV/atom. The calculation puts the calculated formation energy at 0.074 eV/atom.

Structure (POSCAR):
```
AgHg2Pt
1.0
0.000 3.359 3.359
3.359 0.000 3.359
3.359 3.359 0.000
Ag Hg Pt
1 2 1
Cartesian
0.000 0.000 0.000
1.680 1.680 1.680
5.039 5.039 5.039
3.359 3.359 3.359
```

Ta2AsBr: relaxed, GGA-PBE.

Summary:
The value obtained for the volume is 76.7 Å³ per cell. As for the space group: Cm (8). The value obtained for the energy above the most stable polymorph in this dataset is 281 meV/atom. The value obtained for the uncorrected formation energy is 0.14 eV/atom.

Structure (POSCAR):
```
Ta2AsBr
1.0
4.592 -1.648 0.000
4.592 1.648 0.000
-1.488 0.000 5.070
Ta As Br
2 1 1
Cartesian
0.000 0.000 0.000
6.361 0.000 1.600
1.091 0.000 4.724
3.662 0.000 2.860
```